(1)
# ThBePd | Alexandria | PBE | relaxed
data_ThBePd
_chemical_formula_sum 'Th1 Be1 Pd1'
_cell_length_a 4.253
_cell_length_b 4.253
_cell_length_c 3.779
_cell_angle_alpha 90.00
_cell_angle_beta 90.00
_cell_angle_gamma 120.00
_space_group_name_H-M_alt 'P 1'
_space_group_IT_number 1
_space_group_name_Hall 'P 1'
loop_
_atom_site_label
_atom_site_fract_x
_atom_site_fract_y
_atom_site_fract_z
_atom_site_occupancy
Th1 0.000 0.000 0.000 1
Be1 0.333 0.667 0.500 1
Pd1 0.667 0.333 0.500 1
# Calculated formation energy = -0.45 eV per atom
# Calculated volume = 59.20 Å³/f.u.
# Space group = P-6m2 (187)
# Crystal system = hexagonal
# N(E_F) = 0.948 states/eV per atom


(2)
# CaCd2W | Alexandria | PBE | relaxed
data_CaCd2W
_chemical_formula_sum 'Ca1 Cd2 W1'
_cell_length_a 10.576
_cell_length_b 10.576
_cell_length_c 10.576
_cell_angle_alpha 16.75
_cell_angle_beta 16.75
_cell_angle_gamma 16.75
_space_group_name_H-M_alt 'P 1'
_space_group_IT_number 1
_space_group_name_Hall 'P 1'
loop_
_atom_site_label
_atom_site_fract_x
_atom_site_fract_y
_atom_site_fract_z
_atom_site_occupancy
Ca1 0.000 0.000 0.000 1
Cd1 0.510 0.510 0.510 1
Cd2 0.758 0.758 0.758 1
W1 0.253 0.253 0.253 1
# Excess energy over the best structure of this formula in the dataset = 128 meV per atom
# Calculated formation energy = 0.54 eV per atom
# Calculated volume = 85.73 Å³/f.u.
# Space group = R3m (160)
# Crystal system = trigonal
# N(E_F) = 0.446 states/eV per atom


(3)
# MnFeP2 | Alexandria | PBE | relaxed
data_MnFeP2
_chemical_formula_sum 'Mn1 Fe1 P2'
_cell_length_a 5.586
_cell_length_b 5.586
_cell_length_c 5.586
_cell_angle_alpha 150.50
_cell_angle_beta 147.12
_cell_angle_gamma 44.75
_space_group_name_H-M_alt 'P 1'
_space_group_IT_number 1
_space_group_name_Hall 'P 1'
loop_
_atom_site_label
_atom_site_fract_x
_atom_site_fract_y
_atom_site_fract_z
_atom_site_occupancy
Mn1 0.000 0.000 0.000 1
Fe1 0.247 0.747 0.500 1
P1 0.588 0.588 0.000 1
P2 0.830 0.330 0.500 1
# Excess energy over the best structure of this formula in the dataset = 212 meV per atom
# Calculated formation energy = -0.38 eV per atom
# Calculated volume = 46.45 Å³/f.u.
# Space group = Imm2 (44)
# Crystal system = orthorhombic
# N(E_F) = 0.671 states/eV per atom


(4)
# In2CuI4 | Alexandria | PBE | relaxed
data_In2CuI4
_chemical_formula_sum 'In2 Cu1 I4'
_cell_length_a 9.042
_cell_length_b 9.042
_cell_length_c 9.042
_cell_angle_alpha 143.85
_cell_angle_beta 143.85
_cell_angle_gamma 52.06
_space_group_name_H-M_alt 'P 1'
_space_group_IT_number 1
_space_group_name_Hall 'P 1'
loop_
_atom_site_label
_atom_site_fract_x
_atom_site_fract_y
_atom_site_fract_z
_atom_site_occupancy
In1 0.133 0.133 0.000 1
In2 0.867 0.867 0.000 1
Cu1 0.500 0.500 0.000 1
I1 0.000 0.500 0.500 1
I2 0.331 0.331 0.000 1
I3 0.500 0.000 0.500 1
I4 0.669 0.669 0.000 1
# Calculated volume = 255.86 Å³/f.u.
# Space group = I4/mmm (139)
# Crystal system = tetragonal
# Formation energy without anion corrections = -23.56 kJ per mole of atoms
# N(E_F) = 0.575 states/eV per atom


(5)
# PaHg2RhO6 | Alexandria | PBE | relaxed
data_PaHg2RhO6
_chemical_formula_sum 'Pa1 Hg2 Rh1 O6'
_cell_length_a 5.853
_cell_length_b 5.853
_cell_length_c 5.853
_cell_angle_alpha 58.43
_cell_angle_beta 58.43
_cell_angle_gamma 58.43
_space_group_name_H-M_alt 'P 1'
_space_group_IT_number 1
_space_group_name_Hall 'P 1'
loop_
_atom_site_label
_atom_site_fract_x
_atom_site_fract_y
_atom_site_fract_z
_atom_site_occupancy
Pa1 0.000 0.000 0.000 1
Hg1 0.243 0.243 0.243 1
Hg2 0.757 0.757 0.757 1
Rh1 0.500 0.500 0.500 1
O1 0.161 0.741 0.359 1
O2 0.259 0.641 0.839 1
O3 0.359 0.161 0.741 1
O4 0.641 0.839 0.259 1
O5 0.741 0.359 0.161 1
O6 0.839 0.259 0.641 1
# Calculated volume = 136.72 Å³/f.u.
# Space group = R-3 (148)
# Crystal system = trigonal
# Formation energy without anion corrections = -142.75 kJ per mole of atoms
# N(E_F) = 0.324 states/eV per atom